No. 1
# Re2SbCl PBE optimized geometry
data_Re2SbCl
_space_group_name_H-M_alt 'P 1'
_space_group_IT_number 1
_cell_length_a 5.370
_cell_length_b 5.370
_cell_length_c 5.370
_cell_angle_alpha 148.20
_cell_angle_beta 121.49
_cell_angle_gamma 68.15
loop_
_space_group_symop_operation_xyz
'x,y,z'
loop_
_atom_site_label
_atom_site_type_symbol
_atom_site_fract_x
_atom_site_fract_y
_atom_site_fract_z
Re1 Re 0.006 0.006 0.000
Re2 Re 0.494 0.494 0.000
Cl1 Cl 0.250 0.750 0.500
Sb1 Sb 0.750 0.250 0.500
# * raw formation energy: 1075 meV per atom
# * VASP energy: -6.641 eV per atom

***

No. 2
# Re2SbCl PBE optimized geometry
data_Re2SbCl
_space_group_name_H-M_alt 'P 1'
_space_group_IT_number 1
_cell_length_a 4.629
_cell_length_b 4.629
_cell_length_c 4.629
_cell_angle_alpha 60.00
_cell_angle_beta 60.00
_cell_angle_gamma 60.00
loop_
_space_group_symop_operation_xyz
'x,y,z'
loop_
_atom_site_label
_atom_site_type_symbol
_atom_site_fract_x
_atom_site_fract_y
_atom_site_fract_z
Sb1 Sb 0.750 0.750 0.750
Re1 Re 0.000 0.000 0.000
Re2 Re 0.250 0.250 0.250
Cl1 Cl 0.500 0.500 0.500
# * raw formation energy: 1129 meV per atom
# * VASP energy: -6.588 eV per atom

***

No. 3
# ReSbCl PBE optimized geometry
data_ReSbCl
_space_group_name_H-M_alt 'P 1'
_space_group_IT_number 1
_cell_length_a 7.590
_cell_length_b 7.590
_cell_length_c 7.590
_cell_angle_alpha 156.35
_cell_angle_beta 156.35
_cell_angle_gamma 33.70
loop_
_space_group_symop_operation_xyz
'x,y,z'
loop_
_atom_site_label
_atom_site_type_symbol
_atom_site_fract_x
_atom_site_fract_y
_atom_site_fract_z
Cl1 Cl 0.946 0.946 0.000
Re1 Re 0.338 0.338 0.000
Sb1 Sb 0.717 0.717 0.000
# * raw formation energy: 451 meV per atom
# * VASP energy: -5.688 eV per atom